Entry 1:
Entry from OQMD: an optimized crystal structure of HfPt (PBE).

Cell and atoms, written as POSCAR:
```
HfPt
1.0
-4.023 0.494 0.679
2.224 -2.398 2.487
1.076 4.334 3.217
Hf Pt
2 2
direct
0.333 0.667 0.250
0.667 0.333 0.750
0.000 0.000 0.000
0.000 0.000 0.500
```

Results
Total magnetization   0.000 μB/f.u.
ΔE_f   -909 meV per atom
SG   No. 194

***

Entry 2:
Entry from OQMD: an optimized crystal structure of YTlZnTe3 (PBE).

Cell and atoms, written as POSCAR:
```
YTlZnTe3
1.0
8.834 0.000 0.000
0.000 4.361 0.000
-3.611 0.000 10.569
Te Tl Y Zn
6 2 2 2
direct
0.231 0.750 0.056
0.058 0.250 0.342
0.557 0.250 0.354
0.443 0.750 0.646
0.942 0.750 0.658
0.769 0.250 0.944
0.736 0.750 0.206
0.264 0.250 0.794
0.311 0.750 0.358
0.689 0.250 0.642
0.078 0.250 0.110
0.922 0.750 0.890
```

Results
Total magnetization   0.001 μB/f.u.
Excess energy over the best structure of this formula in the dataset   22 meV per atom
SG   No. 11

***

Entry 3:
Entry from OQMD: an optimized crystal structure of GdErB (PBE).

Cell and atoms, written as POSCAR:
```
GdErB
1.0
0.000 3.200 3.200
3.200 0.000 3.200
3.200 3.200 0.000
B Er Gd
1 1 1
direct
0.000 0.000 0.000
0.250 0.250 0.250
0.750 0.750 0.750
```

Results
Total magnetization   0.007 μB/f.u.
Excess energy over the best structure of this formula in the dataset   0 meV per atom
SG   No. 216

***

Entry 4:
Entry from OQMD: an optimized crystal structure of Ta3Si5Au (PBE).

Cell and atoms, written as POSCAR:
```
Ta3Si5Au
1.0
-0.702 5.443 -0.639
-0.960 -3.425 -4.228
-6.211 -0.581 1.881
Au Si Ta
1 5 3
direct
0.000 0.000 0.000
0.667 0.333 0.176
0.333 0.667 0.176
0.000 0.000 0.500
0.667 0.333 0.824
0.333 0.667 0.824
0.500 0.000 0.500
0.000 0.500 0.500
0.500 0.500 0.500
```

Results
Total magnetization   0.014 μB/f.u.
Uncorrected energy   -63.7 eV per formula unit
SG   No. 191